TaReRh2 (PBEsol, relaxed); symmetry = Pmm2 (25); magnetic moment = 0.00 μB/f.u.; formation enthalpy at 0 K = -0.3366 eV/atom
1.0
2.751 0.000 0.000
0.000 4.414 0.000
0.000 0.000 4.792
Ta Re Rh
1 1 2
Direct
0.000 0.000 0.000
0.000 0.500 0.648
0.500 0.000 0.505
0.500 0.500 0.155



Al8BC5 (PBEsol, relaxed); symmetry = R-3m (166); magnetic moment = 0.00 μB/f.u.; formation enthalpy at 0 K = -0.0494 eV/atom
1.0
1.683 0.971 16.863
-1.683 0.971 16.863
0.000 -1.943 16.863
Al B C
8 1 5
Direct
0.065 0.065 0.065
0.145 0.145 0.145
0.353 0.353 0.353
0.434 0.434 0.434
0.566 0.566 0.566
0.647 0.647 0.647
0.855 0.855 0.855
0.935 0.935 0.935
0.500 0.500 0.500
0.000 0.000 0.000
0.107 0.107 0.107
0.391 0.391 0.391
0.609 0.609 0.609
0.893 0.893 0.893



CsLi2NiSe (PBEsol, relaxed); symmetry = P4/mmm (123); magnetic moment = 0.00 μB/f.u.; ΔE_f (raw) = 0.22 eV per atom
1.0
4.934 0.000 0.000
0.000 4.934 0.000
0.000 0.000 5.051
Cs Li Ni Se
1 2 1 1
Direct
0.000 0.000 0.000
0.000 0.500 0.500
0.500 0.000 0.500
0.000 0.000 0.500
0.500 0.500 0.000



HfFeTe3 (PBEsol, relaxed); symmetry = Pm-3m (221); magnetic moment = 4.13 μB/f.u.; ΔE_f (raw) = 0.61 eV per atom
1.0
5.461 0.000 0.000
0.000 5.461 0.000
0.000 0.000 5.461
Hf Fe Te
1 1 3
Direct
0.000 0.000 0.000
0.500 0.500 0.500
0.000 0.000 0.500
0.000 0.500 0.000
0.500 0.000 0.000



CaYTe2 (PBEsol, relaxed); symmetry = R-3m (166); magnetic moment = 0.00 μB/f.u.; ΔE_f (raw) = -1.51 eV per atom
1.0
2.163 1.249 7.226
-2.163 1.249 7.226
0.000 -2.498 7.226
Ca Y Te
1 1 2
Direct
0.000 0.000 0.000
0.500 0.500 0.500
0.249 0.249 0.249
0.751 0.751 0.751



CaCdCl2 (PBEsol, relaxed); symmetry = Immm (71); magnetic moment = 0.00 μB/f.u.; ΔE_f (raw) = -1.38 eV per atom
1.0
-1.929 3.099 4.754
1.929 -3.099 4.754
1.929 3.099 -4.754
Ca Cd Cl
1 1 2
Direct
0.000 0.000 0.000
0.500 0.500 0.000
0.191 0.691 0.500
0.809 0.309 0.500



LaP2RhS (PBEsol, relaxed); symmetry = P4/mmm (123); magnetic moment = 0.00 μB/f.u.; ΔE_f (raw) = -0.59 eV per atom
1.0
4.467 0.000 0.000
0.000 4.467 0.000
0.000 0.000 4.976
La P Rh S
1 2 1 1
Direct
0.000 0.000 0.000
0.000 0.500 0.500
0.500 0.000 0.500
0.500 0.500 0.500
0.500 0.500 0.000



InTcNi2 (PBEsol, relaxed); symmetry = Amm2 (38); magnetic moment = 0.00 μB/f.u.; formation enthalpy at 0 K = 0.0968 eV/atom
1.0
4.071 0.000 0.000
0.000 1.338 4.924
0.000 -1.338 4.924
In Tc Ni
1 1 2
Direct
0.000 0.000 0.000
0.500 0.327 0.327
0.000 0.740 0.740
0.500 0.601 0.601



HfNb3Ga (PBEsol, relaxed); symmetry = Pm-3m (221); magnetic moment = 0.00 μB/f.u.; formation enthalpy at 0 K = 0.9123 eV/atom
1.0
4.726 0.000 0.000
0.000 4.726 0.000
0.000 0.000 4.726
Hf Nb Ga
1 3 1
Direct
0.000 0.000 0.000
0.000 0.500 0.500
0.500 0.000 0.500
0.500 0.500 0.000
0.500 0.500 0.500



Na2B8O13 (PBEsol, relaxed); symmetry = P2_1 (4); magnetic moment = 0.00 μB/f.u.; ΔE_f (raw) = -2.42 eV per atom
1.0
10.501 0.000 0.000
0.000 8.105 0.000
-2.073 0.000 11.444
Na B O
8 32 52
Direct
0.017 0.000 0.112
0.212 0.289 0.351
0.281 0.640 0.564
0.469 0.067 0.885
0.531 0.567 0.115
0.719 0.140 0.436
0.788 0.789 0.649
0.983 0.500 0.888
0.013 0.868 0.499
0.023 0.612 0.632
0.042 0.594 0.165
0.155 0.130 0.747
0.163 0.920 0.370
0.163 0.941 0.906
0.205 0.724 0.061
0.229 0.558 0.789
0.277 0.524 0.210
0.302 0.365 0.945
0.328 0.149 0.626
0.343 0.155 0.105
0.343 0.953 0.256
0.462 0.481 0.833
0.481 0.206 0.500
0.483 0.463 0.368
0.517 0.963 0.632
0.519 0.706 0.500
0.538 0.981 0.167
0.657 0.453 0.744
0.657 0.655 0.895
0.672 0.649 0.374
0.698 0.865 0.055
0.723 0.024 0.790
0.771 0.058 0.211
0.795 0.224 0.939
0.837 0.420 0.630
0.837 0.441 0.094
0.845 0.630 0.253
0.958 0.094 0.835
0.977 0.112 0.368
0.987 0.368 0.501
0.027 0.268 0.421
0.032 0.172 0.754
0.038 0.974 0.913
0.062 0.498 0.547
0.085 0.041 0.316
0.085 0.722 0.088
0.132 0.646 0.725
0.134 0.839 0.467
0.155 0.510 0.231
0.205 0.467 0.886
0.214 0.195 0.661
0.227 0.023 0.829
0.238 0.829 0.978
0.269 0.270 0.034
0.278 0.877 0.335
0.280 0.083 0.189
0.304 0.624 0.119
0.350 0.560 0.762
0.356 0.229 0.527
0.373 0.432 0.273
0.409 0.033 0.682
0.420 0.358 0.913
0.444 0.577 0.453
0.461 0.901 0.244
0.462 0.107 0.091
0.474 0.805 0.578
0.526 0.305 0.422
0.538 0.607 0.909
0.539 0.401 0.756
0.556 0.077 0.547
0.580 0.858 0.087
0.591 0.533 0.318
0.627 0.932 0.727
0.644 0.729 0.473
0.650 0.060 0.238
0.696 0.124 0.881
0.720 0.583 0.811
0.722 0.377 0.665
0.731 0.770 0.966
0.762 0.329 0.022
0.773 0.523 0.171
0.786 0.695 0.339
0.795 0.967 0.114
0.845 0.010 0.769
0.866 0.339 0.533
0.868 0.146 0.275
0.915 0.222 0.912
0.915 0.541 0.684
0.938 0.998 0.453
0.962 0.474 0.087
0.968 0.672 0.246
0.973 0.768 0.579



| no. | total energy (eV/atom) |
| --- | --- |
| 1 | -10.88 |
| 2 | -6.33 |
| 3 | -2.76 |
| 4 | -5.40 |
| 5 | -5.51 |
| 6 | -3.22 |
| 7 | -6.48 |
| 8 | -6.54 |
| 9 | -8.35 |
| 10 | -7.95 |